Material: Ti6HO
Method: DFT, PBE
State: optimized geometry

Its density is 4639 kg/m3. The magnetization is 0.000 μB/cell. The calculation puts the raw total energy at -7.74 eV per atom.

a b c (Å): 5.137 5.136 5.612
angles (deg): 62.78 62.78 60.02
Fractional coordinates of all 8 atoms:
Ti: 0.083 0.415 0.741
Ti: 0.761 0.083 0.741
Ti: 0.585 0.240 0.259
Ti: 0.239 0.917 0.259
Ti: 0.917 0.585 0.259
Ti: 0.415 0.760 0.741
H: 0.500 0.500 0.500
O: 0.000 0.000 0.000